[1]
RbBa3Bi | GGA-PBE | optimized geometry

Calculated values
Uncorrected energy   -0.0897 Ha/atom
Distance to the lowest polymorph of the same formula   0.0 meV/atom
Magnetic moment   0.000 μB per cell

Lattice parameters (Å, degrees): 6.984 6.984 6.984 90.00 90.00 90.00
Space group Pm-3m (No. 221)
Unique sites:
Rb 0.000 0.000 0.000 (multiplicity 1)
Ba 0.000 0.500 0.500 (multiplicity 3)
Bi 0.500 0.500 0.500 (multiplicity 1)

[2]
RbBaBi2 | GGA-PBE | optimized geometry

Calculated values
Uncorrected energy   -0.1189 Ha/atom
Distance to the lowest polymorph of the same formula   0.0 meV/atom
Magnetic moment   0.000 μB per cell

Lattice parameters (Å, degrees): 4.750 4.750 7.966 90.00 90.00 90.00
Space group P4/mmm (No. 123)
Unique sites:
Rb 0.000 0.000 0.000 (multiplicity 1)
Ba 0.000 0.000 0.500 (multiplicity 1)
Bi 0.500 0.500 0.310 (multiplicity 2)

Computed DFT formation energy (meV per atom) in order:
-318.2, -572.4